Entry 1:
LiScRu2S | meta-GGA SCAN | single point on PBEsol structure

Results
uncorrected energy	-19.4543	eV per atom
formation energy without anion corrections	-0.273	eV/atom

```
data_LiScRu2S
_chemical_formula_sum 'Li1 Sc1 Ru2 S1'
_space_group_name_H-M_alt 'P 4/m m m'
_space_group_IT_number 123
_space_group_name_Hall '-P 4 2'
_cell_length_a 4.325
_cell_length_b 4.325
_cell_length_c 4.195
_cell_angle_alpha 90.00
_cell_angle_beta 90.00
_cell_angle_gamma 90.00
loop_
_atom_site_label
_atom_site_fract_x
_atom_site_fract_y
_atom_site_fract_z
Li1 0.000 0.000 0.000
Sc1 0.500 0.500 0.000
Ru1 0.000 0.500 0.500
S1 0.000 0.000 0.500
```


Entry 2:
LiSbRu3 | meta-GGA SCAN | single point on PBEsol structure

Results
uncorrected energy	-27.9657	eV per atom
formation energy without anion corrections	0.860	eV/atom
energy above the lowest structure with this stoichiometry	0	meV per atom

```
data_LiSbRu3
_chemical_formula_sum 'Li1 Sb1 Ru3'
_space_group_name_H-M_alt 'P m -3 m'
_space_group_IT_number 221
_space_group_name_Hall '-P 4 2 3'
_cell_length_a 4.122
_cell_length_b 4.122
_cell_length_c 4.122
_cell_angle_alpha 90.00
_cell_angle_beta 90.00
_cell_angle_gamma 90.00
loop_
_atom_site_label
_atom_site_fract_x
_atom_site_fract_y
_atom_site_fract_z
Li1 0.000 0.000 0.000
Sb1 0.500 0.500 0.500
Ru1 0.000 0.000 0.500
```


Entry 3:
LiSb3Ru | meta-GGA SCAN | single point on PBEsol structure

Results
uncorrected energy	-29.5335	eV per atom
formation energy without anion corrections	0.266	eV/atom

```
data_LiSb3Ru
_chemical_formula_sum 'Li1 Sb3 Ru1'
_space_group_name_H-M_alt 'P m -3 m'
_space_group_IT_number 221
_space_group_name_Hall '-P 4 2 3'
_cell_length_a 5.113
_cell_length_b 5.113
_cell_length_c 5.113
_cell_angle_alpha 90.00
_cell_angle_beta 90.00
_cell_angle_gamma 90.00
loop_
_atom_site_label
_atom_site_fract_x
_atom_site_fract_y
_atom_site_fract_z
Li1 0.000 0.000 0.000
Sb1 0.000 0.500 0.500
Ru1 0.500 0.500 0.500
```


Entry 4:
Li2ScRu | meta-GGA SCAN | single point on PBEsol structure

Results
calculated formation energy	-0.049	eV per atom
uncorrected energy	-13.5093	eV per atom
energy above the lowest structure with this stoichiometry	0	meV per atom

```
data_Li2ScRu
_chemical_formula_sum 'Li4 Sc2 Ru2'
_space_group_name_H-M_alt 'I 4/m m m'
_space_group_IT_number 139
_space_group_name_Hall '-I 4 2'
_cell_length_a 3.680
_cell_length_b 3.680
_cell_length_c 9.177
_cell_angle_alpha 90.00
_cell_angle_beta 90.00
_cell_angle_gamma 90.00
loop_
_atom_site_label
_atom_site_fract_x
_atom_site_fract_y
_atom_site_fract_z
Li1 0.000 0.500 0.250
Sc1 0.000 0.000 0.000
Ru1 0.000 0.000 0.500
```


Entry 5:
Li2ScRu | meta-GGA SCAN | single point on PBEsol structure

Results
calculated formation energy	0.017	eV per atom
uncorrected energy	-13.4434	eV per atom
energy above the lowest structure with this stoichiometry	66	meV per atom

```
data_Li2ScRu
_chemical_formula_sum 'Li4 Sc2 Ru2'
_space_group_name_H-M_alt 'C m m 2'
_space_group_IT_number 35
_space_group_name_Hall 'C 2 -2'
_cell_length_a 3.232
_cell_length_b 4.831
_cell_length_c 9.162
_cell_angle_alpha 90.00
_cell_angle_beta 90.00
_cell_angle_gamma 90.00
loop_
_atom_site_label
_atom_site_fract_x
_atom_site_fract_y
_atom_site_fract_z
Li1 0.000 0.000 0.000
Li2 0.000 0.500 0.284
Sc1 0.000 0.500 0.703
Ru1 0.000 0.000 0.501
```


Entry 6:
LiRuSe2 | meta-GGA SCAN | single point on PBEsol structure

Results
uncorrected energy	-19.6529	eV per atom
formation energy without anion corrections	-0.310	eV/atom

```
data_LiRuSe2
_chemical_formula_sum 'Li1 Ru1 Se2'
_space_group_name_H-M_alt 'P 4 m m'
_space_group_IT_number 99
_space_group_name_Hall 'P 4 -2'
_cell_length_a 3.323
_cell_length_b 3.323
_cell_length_c 5.879
_cell_angle_alpha 90.00
_cell_angle_beta 90.00
_cell_angle_gamma 90.00
loop_
_atom_site_label
_atom_site_fract_x
_atom_site_fract_y
_atom_site_fract_z
Li1 0.000 0.000 0.000
Ru1 0.500 0.500 0.291
Se1 0.000 0.000 0.449
Se2 0.500 0.500 0.874
```


Entry 7:
LiRuSe2 | meta-GGA SCAN | single point on PBEsol structure

Results
uncorrected energy	-19.9070	eV per atom
formation energy without anion corrections	-0.564	eV/atom

```
data_LiRuSe2
_chemical_formula_sum 'Li3 Ru3 Se6'
_space_group_name_H-M_alt 'R -3 m'
_space_group_IT_number 166
_space_group_name_Hall '-R 3 2"'
_cell_length_a 3.7379
_cell_length_b 3.7379
_cell_length_c 17.4012
_cell_angle_alpha 90.00
_cell_angle_beta 90.00
_cell_angle_gamma 120.00
loop_
_atom_site_label
_atom_site_fract_x
_atom_site_fract_y
_atom_site_fract_z
Li1 0.0000 0.0000 0.0000
Ru1 0.0000 0.0000 0.5000
Se1 0.0000 0.0000 0.2387
```


Entry 8:
LiRu2Se | meta-GGA SCAN | single point on PBEsol structure

Results
uncorrected energy	-22.8110	eV per atom
formation energy without anion corrections	0.219	eV/atom

```
data_LiRu2Se
_chemical_formula_sum 'Li4 Ru8 Se4'
_space_group_name_H-M_alt 'F -4 3 m'
_space_group_IT_number 216
_space_group_name_Hall 'F -4 2 3'
_cell_length_a 6.018
_cell_length_b 6.018
_cell_length_c 6.018
_cell_angle_alpha 90.00
_cell_angle_beta 90.00
_cell_angle_gamma 90.00
loop_
_atom_site_label
_atom_site_fract_x
_atom_site_fract_y
_atom_site_fract_z
Li1 0.000 0.000 0.000
Ru1 0.000 0.000 0.500
Ru2 0.250 0.250 0.750
Se1 0.250 0.250 0.250
```


no.,density (kg/m3)
1,6054
2,10244
3,5878
4,4274
5,3712
6,6803
7,6291
8,8777